# 1
Dy3Ag3PdO8 (PBE, optimized geometry); symmetry = C2/m; crystal system = monoclinic; raw formation energy = -1.7510 eV per atom
1.0
5.877 -3.394 0.000
5.877 3.394 0.000
-3.929 0.000 5.702
Dy Ag Pd O
3 3 1 8
Cartesian
0.000 0.000 0.000
2.938 1.697 0.000
2.938 -1.697 0.000
0.974 1.697 2.851
0.974 -1.697 2.851
3.912 0.000 2.851
5.877 0.000 0.000
1.959 0.000 1.043
4.988 1.540 1.094
0.170 0.000 4.608
2.836 1.540 4.608
4.988 -1.540 1.094
7.655 0.000 1.094
2.836 -1.540 4.608
5.866 0.000 4.659

# 2
Tb4Nd3Tm4 (PBE, optimized geometry); symmetry = C2/m; DOS at the Fermi energy = 13.760 states/eV/cell; energy relative to the elements = 0.2 eV per formula unit; crystal system = monoclinic; E above lowest polymorph = 0.00 eV per formula unit
1.0
19.791 -1.786 0.000
19.791 1.786 0.000
-0.637 0.000 4.985
Tb Nd Tm
4 3 4
Cartesian
1.800 0.000 0.228
12.335 0.000 1.581
26.610 0.000 3.405
37.146 0.000 4.757
5.344 0.000 0.681
19.473 0.000 2.493
33.602 0.000 4.304
8.875 0.000 1.136
15.921 0.000 2.041
23.025 0.000 2.945
30.071 0.000 3.850

# 3
Li2TeAs (PBE, optimized geometry); symmetry = P2/m; DOS at the Fermi energy = 1.039 states/eV/cell; crystal system = monoclinic; E above lowest polymorph = 0.08 eV per formula unit; raw formation energy = -0.4857 eV per atom
1.0
3.108 0.000 0.000
0.000 4.069 0.000
-0.331 0.000 6.277
Li Te As
2 1 1
Cartesian
-0.087 0.000 1.786
2.865 0.000 4.491
1.554 2.034 0.000
1.389 2.034 3.138

# 4
Na3HfGa (PBE, optimized geometry); symmetry = Pm-3m; DOS at the Fermi energy = 7.209 states/eV/cell; energy relative to the elements = 7.1 eV per formula unit; crystal system = cubic; E above lowest polymorph = 1.92 eV per formula unit
1.0
6.074 0.000 0.000
0.000 6.074 0.000
0.000 0.000 6.074
Na Hf Ga
3 1 1
Cartesian
0.000 0.000 3.037
0.000 3.037 0.000
3.037 0.000 0.000
0.000 0.000 0.000
3.037 3.037 3.037

# 5
Zr2AsRu (PBE, optimized geometry); symmetry = P4mm; DOS at the Fermi energy = 3.469 states/eV/cell; energy relative to the elements = -1.3 eV per formula unit; crystal system = tetragonal
1.0
3.239 0.000 0.000
0.000 3.239 0.000
0.000 0.000 7.150
Zr As Ru
2 1 1
Cartesian
0.000 0.000 0.000
1.619 1.619 2.226
0.000 0.000 4.104
1.619 1.619 5.472

# 6
ThCo4Ni (PBE, optimized geometry); symmetry = F-43m; DOS at the Fermi energy = 8.847 states/eV/cell; energy relative to the elements = -0.2 eV per formula unit; crystal system = cubic
1.0
0.000 3.493 3.493
3.493 0.000 3.493
3.493 3.493 0.000
Th Co Ni
1 4 1
Cartesian
0.000 0.000 0.000
2.635 2.635 2.635
4.352 4.352 2.635
4.352 2.635 4.352
2.635 4.352 4.352
5.240 5.240 5.240